(1)
RbCdHg2Br6: relaxed, PBE.

abc: 7.491 7.492 8.312
angles: 90.01 116.69 119.94
Element x y z (fractional)
1 Rb 0.000 0.000 0.000
2 Cd 0.049 0.525 0.574
3 Hg 0.397 0.198 0.596
4 Hg 0.430 0.715 0.146
5 Br 0.235 0.446 0.370
6 Br 0.305 0.372 0.832
7 Br 0.460 0.933 0.833
8 Br 0.580 0.134 0.370
9 Br 0.898 0.527 0.832
10 Br 0.924 0.789 0.370

## Properties
Energy relative to the elements, uncorrected ... -0.737 eV/atom
Magnetic moment ... 0.00 μB/f.u.



(2)
CdHgRh2Br: relaxed, PBE.

abc: 4.628 4.628 5.782
angles: 90.00 90.00 90.00
Element x y z (fractional)
1 Cd 0.000 0.000 0.000
2 Hg 0.500 0.500 0.000
3 Rh 0.000 0.500 0.500
4 Rh 0.500 0.000 0.500
5 Br 0.500 0.500 0.500

## Properties
Energy relative to the elements, uncorrected ... 0.858 eV/atom
Magnetic moment ... 0.00 μB/f.u.



(3)
CdHgSbBr: relaxed, PBE.

abc: 4.791 4.791 8.049
angles: 107.49 107.49 60.04
Element x y z (fractional)
1 Cd 0.000 0.000 0.000
2 Hg 0.536 0.536 0.615
3 Sb 0.875 0.875 0.633
4 Br 0.383 0.383 0.148

## Properties
Energy relative to the elements, uncorrected ... -0.226 eV/atom
Magnetic moment ... 0.00 μB/f.u.



(4)
CdHgSbBr6: relaxed, PBE.

abc: 7.192 7.192 6.944
angles: 90.00 90.00 120.00
Element x y z (fractional)
1 Cd 0.000 0.000 0.000
2 Hg 0.333 0.667 0.500
3 Sb 0.667 0.333 0.000
4 Br 0.333 0.021 0.768
5 Br 0.333 0.312 0.232
6 Br 0.688 0.021 0.232
7 Br 0.688 0.667 0.768
8 Br 0.979 0.312 0.768
9 Br 0.979 0.667 0.232

## Properties
Energy relative to the elements, uncorrected ... -0.550 eV/atom
Magnetic moment ... 0.00 μB/f.u.



(5)
CdHgSeBr2: relaxed, PBE.

abc: 5.494 5.494 5.532
angles: 90.00 90.00 90.00
Element x y z (fractional)
1 Cd 0.000 0.000 0.000
2 Hg 0.500 0.500 0.500
3 Se 0.000 0.000 0.500
4 Br 0.000 0.500 0.000
5 Br 0.500 0.000 0.000

## Properties
Energy relative to the elements, uncorrected ... -0.011 eV/atom
Magnetic moment ... 1.63 μB/f.u.
Relative energy among the computed polymorphs ... 0.000 eV per atom



(6)
CdSiHgBr2: relaxed, PBE.

abc: 5.477 5.477 5.771
angles: 90.00 90.00 90.00
Element x y z (fractional)
1 Cd 0.000 0.000 0.000
2 Si 0.500 0.500 0.500
3 Hg 0.000 0.000 0.500
4 Br 0.000 0.500 0.000
5 Br 0.500 0.000 0.000

## Properties
Energy relative to the elements, uncorrected ... 0.393 eV/atom
Magnetic moment ... 1.69 μB/f.u.



(7)
TlCdHgBr2: relaxed, PBE.

abc: 5.771 5.771 5.559
angles: 90.00 90.00 90.00
Element x y z (fractional)
1 Tl 0.000 0.000 0.000
2 Cd 0.500 0.500 0.500
3 Hg 0.500 0.500 0.000
4 Br 0.000 0.500 0.500
5 Br 0.500 0.000 0.500

## Properties
Energy relative to the elements, uncorrected ... -0.392 eV/atom
Magnetic moment ... 0.00 μB/f.u.



(8)
TlCdHgBr: relaxed, PBE.

abc: 5.613 5.613 5.613
angles: 60.00 60.00 60.00
Element x y z (fractional)
1 Tl 0.000 0.000 0.000
2 Cd 0.500 0.500 0.500
3 Hg 0.250 0.250 0.250
4 Br 0.750 0.750 0.750

## Properties
Energy relative to the elements, uncorrected ... -0.247 eV/atom
Magnetic moment ... 0.00 μB/f.u.



(9)
TlCdHgBr5: relaxed, PBE.

abc: 7.934 7.934 10.239
angles: 103.15 103.15 107.32
Element x y z (fractional)
1 Tl 0.162 0.838 0.750
2 Tl 0.838 0.162 0.250
3 Cd 0.500 0.500 0.000
4 Cd 0.500 0.500 0.500
5 Hg 0.180 0.820 0.250
6 Hg 0.820 0.180 0.750
7 Br 0.135 0.243 0.953
8 Br 0.179 0.589 0.403
9 Br 0.243 0.135 0.453
10 Br 0.411 0.821 0.097
11 Br 0.422 0.578 0.750
12 Br 0.578 0.422 0.250
13 Br 0.589 0.179 0.903
14 Br 0.757 0.865 0.547
15 Br 0.821 0.411 0.597
16 Br 0.865 0.757 0.047

## Properties
Energy relative to the elements, uncorrected ... -0.682 eV/atom
Magnetic moment ... 0.00 μB/f.u.



(10)
Ho2CdBr: relaxed, PBE.

abc: 11.246 11.246 11.246
angles: 17.80 17.80 17.80
Element x y z (fractional)
1 Ho 0.095 0.095 0.095
2 Ho 0.905 0.905 0.905
3 Cd 0.000 0.000 0.000
4 Br 0.500 0.500 0.500

## Properties
Energy relative to the elements, uncorrected ... -0.255 eV/atom
Magnetic moment ... 0.00 μB/f.u.



(11)
HoCdBr6: relaxed, PBE.

abc: 6.962 6.966 7.353
angles: 90.00 117.99 119.97
Element x y z (fractional)
1 Ho 0.000 0.000 0.000
2 Cd 0.000 0.500 0.500
3 Br 0.172 0.247 0.749
4 Br 0.173 0.422 0.248
5 Br 0.497 0.077 0.250
6 Br 0.503 0.923 0.750
7 Br 0.827 0.578 0.752
8 Br 0.828 0.753 0.251

## Properties
Energy relative to the elements, uncorrected ... -1.089 eV/atom
Magnetic moment ... 0.80 μB/f.u.



(12)
HoCdInBr6: relaxed, PBE.

abc: 7.264 7.264 14.470
angles: 90.00 90.00 120.00
Element x y z (fractional)
1 Ho 0.333 0.667 0.250
2 Ho 0.667 0.333 0.750
3 Cd 0.333 0.667 0.750
4 Cd 0.667 0.333 0.250
5 In 0.000 0.000 0.000
6 In 0.000 0.000 0.500
7 Br 0.002 0.370 0.138
8 Br 0.002 0.632 0.362
9 Br 0.368 0.370 0.362
10 Br 0.368 0.998 0.138
11 Br 0.370 0.002 0.638
12 Br 0.370 0.368 0.862
13 Br 0.630 0.632 0.138
14 Br 0.630 0.998 0.362
15 Br 0.632 0.002 0.862
16 Br 0.632 0.630 0.638
17 Br 0.998 0.368 0.638
18 Br 0.998 0.630 0.862

## Properties
Energy relative to the elements, uncorrected ... -1.263 eV/atom
Magnetic moment ... 0.00 μB/f.u.



- What is the formula in the seventh record?
  TlCdHgBr2